(1)
DFT (GGA-PBE) results for Sm2HfCd after structural relaxation.

formation enthalpy at 0 K: 1.303 eV per formula unit
size of the total moment: 0.00 μB/atom
relative energy among the computed polymorphs: 36.6 kJ/mol of atoms

a = 3.253 Å, b = 3.253 Å, c = 12.165 Å
α = 82.32°, β = 82.32°, γ = 60.00°
Positions (direct):
1 Cd 0.500 0.500 0.500
2 Sm 0.912 0.912 0.265
3 Sm 0.088 0.088 0.735
4 Hf 0.000 0.000 0.000

(2)
DFT (GGA-PBE) results for Sm2HfCd after structural relaxation.

formation enthalpy at 0 K: -0.215 eV per formula unit
size of the total moment: 0.00 μB/atom
relative energy among the computed polymorphs: 0.0 kJ/mol of atoms

a = 3.438 Å, b = 3.438 Å, c = 9.280 Å
α = 90.00°, β = 90.00°, γ = 90.00°
Positions (direct):
1 Hf 0.500 0.500 0.500
2 Sm 0.000 0.000 0.249
3 Sm 0.000 0.000 0.751
4 Cd 0.500 0.500 0.000

(3)
DFT (GGA-PBE) results for SmHfCd2 after structural relaxation.

formation enthalpy at 0 K: -0.322 eV per formula unit
size of the total moment: 0.10 μB/atom

a = 3.573 Å, b = 3.573 Å, c = 7.585 Å
α = 90.00°, β = 90.00°, γ = 90.00°
Positions (direct):
1 Sm 0.500 0.500 0.500
2 Cd 0.000 0.000 0.221
3 Cd 0.000 0.000 0.779
4 Hf 0.500 0.500 0.000

(4)
DFT (GGA-PBE) results for HfCdSn2 after structural relaxation.

formation enthalpy at 0 K: -0.241 eV per formula unit
size of the total moment: 0.00 μB/atom

a = 3.876 Å, b = 3.876 Å, c = 6.239 Å
α = 90.00°, β = 90.00°, γ = 90.00°
Positions (direct):
1 Hf 0.500 0.500 0.000
2 Cd 0.500 0.500 0.500
3 Sn 0.000 0.000 0.763
4 Sn 0.000 0.000 0.237

(5)
DFT (GGA-PBE) results for HfCd2Sn2 after structural relaxation.

formation enthalpy at 0 K: 0.946 eV per formula unit
size of the total moment: 0.00 μB/atom
relative energy among the computed polymorphs: 1.9 kJ/mol of atoms

a = 3.893 Å, b = 3.893 Å, c = 8.943 Å
α = 77.43°, β = 77.43°, γ = 90.00°
Positions (direct):
1 Cd 0.750 0.250 0.500
2 Cd 0.250 0.750 0.500
3 Sn 0.413 0.413 0.175
4 Sn 0.587 0.587 0.825
5 Hf 0.000 0.000 0.000

(6)
DFT (GGA-PBE) results for HfCdSn3 after structural relaxation.

formation enthalpy at 0 K: 1.744 eV per formula unit
size of the total moment: 0.00 μB/atom
relative energy among the computed polymorphs: 0.0 kJ/mol of atoms

a = 5.558 Å, b = 5.558 Å, c = 5.558 Å
α = 90.00°, β = 90.00°, γ = 90.00°
Positions (direct):
1 Sn 0.000 0.500 0.000
2 Sn 0.000 0.000 0.500
3 Sn 0.500 0.000 0.000
4 Cd 0.500 0.500 0.500
5 Hf 0.000 0.000 0.000

(7)
DFT (GGA-PBE) results for Hf9CdSn2 after structural relaxation.

formation enthalpy at 0 K: -1.979 eV per formula unit
size of the total moment: 0.00 μB/atom

a = 4.426 Å, b = 4.426 Å, c = 13.245 Å
α = 90.00°, β = 90.00°, γ = 90.00°
Positions (direct):
1 Hf 0.500 0.000 0.166
2 Hf 0.500 0.500 0.332
3 Hf 0.000 0.500 0.500
4 Hf 0.000 0.500 0.166
5 Hf 0.500 0.000 0.834
6 Hf 0.500 0.000 0.500
7 Hf 0.500 0.500 0.000
8 Hf 0.500 0.500 0.668
9 Hf 0.000 0.500 0.834
10 Sn 0.000 0.000 0.666
11 Sn 0.000 0.000 0.334
12 Cd 0.000 0.000 0.000

(8)
DFT (GGA-PBE) results for HfCd2Sn2 after structural relaxation.

formation enthalpy at 0 K: 0.845 eV per formula unit
size of the total moment: 0.00 μB/atom
relative energy among the computed polymorphs: 0.0 kJ/mol of atoms

a = 7.986 Å, b = 7.986 Å, c = 3.799 Å
α = 90.00°, β = 90.00°, γ = 90.00°
Positions (direct):
1 Cd 0.856 0.356 0.500
2 Cd 0.644 0.856 0.500
3 Cd 0.356 0.144 0.500
4 Cd 0.144 0.644 0.500
5 Sn 0.842 0.658 0.000
6 Sn 0.658 0.158 0.000
7 Sn 0.158 0.342 0.000
8 Sn 0.342 0.842 0.000
9 Hf 0.500 0.500 0.000
10 Hf 0.000 0.000 0.000

(9)
DFT (GGA-PBE) results for Hf7Cd2Sn2 after structural relaxation.

formation enthalpy at 0 K: 1.558 eV per formula unit
size of the total moment: 0.00 μB/atom

a = 6.064 Å, b = 6.736 Å, c = 6.736 Å
α = 100.53°, β = 77.17°, γ = 77.17°
Positions (direct):
1 Hf 0.003 0.696 0.696
2 Hf 0.710 0.071 0.573
3 Hf 0.500 0.000 0.000
4 Hf 0.290 0.427 0.929
5 Hf 0.997 0.304 0.304
6 Hf 0.710 0.573 0.071
7 Hf 0.290 0.929 0.427
8 Cd 0.434 0.363 0.363
9 Cd 0.566 0.637 0.637
10 Sn 0.000 0.146 0.854
11 Sn 0.000 0.854 0.146

(10)
DFT (GGA-PBE) results for Hf12CdSn6 after structural relaxation.

formation enthalpy at 0 K: -4.060 eV per formula unit
size of the total moment: 0.00 μB/atom

a = 8.301 Å, b = 8.301 Å, c = 8.301 Å
α = 110.73°, β = 110.73°, γ = 110.73°
Positions (direct):
1 Hf 0.324 0.467 0.206
2 Hf 0.467 0.206 0.324
3 Hf 0.825 0.270 0.904
4 Hf 0.096 0.175 0.730
5 Hf 0.904 0.825 0.270
6 Hf 0.533 0.794 0.676
7 Hf 0.175 0.730 0.096
8 Hf 0.206 0.324 0.467
9 Hf 0.676 0.533 0.794
10 Hf 0.730 0.096 0.175
11 Hf 0.270 0.904 0.825
12 Hf 0.794 0.676 0.533
13 Sn 0.071 0.582 0.368
14 Sn 0.368 0.071 0.582
15 Sn 0.418 0.632 0.929
16 Sn 0.632 0.929 0.418
17 Sn 0.929 0.418 0.632
18 Sn 0.582 0.368 0.071
19 Cd 0.000 0.000 0.000

(11)
DFT (GGA-PBE) results for Hf2Cd2Sn after structural relaxation.

formation enthalpy at 0 K: 1.075 eV per formula unit
size of the total moment: 0.00 μB/atom

a = 8.236 Å, b = 8.236 Å, c = 3.339 Å
α = 90.00°, β = 90.00°, γ = 90.00°
Positions (direct):
1 Sn 0.000 0.000 0.000
2 Sn 0.500 0.500 0.000
3 Hf 0.824 0.324 0.500
4 Hf 0.676 0.824 0.500
5 Hf 0.324 0.176 0.500
6 Hf 0.176 0.676 0.500
7 Cd 0.623 0.123 0.000
8 Cd 0.123 0.377 0.000
9 Cd 0.877 0.623 0.000
10 Cd 0.377 0.877 0.000

(12)
DFT (GGA-PBE) results for HfCdSn2 after structural relaxation.

formation enthalpy at 0 K: -0.250 eV per formula unit
size of the total moment: 0.00 μB/atom

a = 3.305 Å, b = 3.305 Å, c = 10.632 Å
α = 81.06°, β = 81.06°, γ = 60.00°
Positions (direct):
1 Hf 0.500 0.500 0.500
2 Sn 0.909 0.909 0.273
3 Sn 0.091 0.091 0.727
4 Cd 0.000 0.000 0.000

(13)
DFT (GGA-PBE) results for Hf2Cd2Sn after structural relaxation.

formation enthalpy at 0 K: 0.753 eV per formula unit
size of the total moment: 0.00 μB/atom

a = 7.408 Å, b = 7.408 Å, c = 4.387 Å
α = 90.00°, β = 90.00°, γ = 90.00°
Positions (direct):
1 Hf 0.853 0.647 0.000
2 Hf 0.147 0.353 0.000
3 Hf 0.647 0.147 0.000
4 Hf 0.353 0.853 0.000
5 Cd 0.650 0.850 0.500
6 Cd 0.150 0.650 0.500
7 Cd 0.850 0.350 0.500
8 Cd 0.350 0.150 0.500
9 Sn 0.000 0.000 0.000
10 Sn 0.500 0.500 0.000